1.
Here is CdInSb2Te after structural relaxation from the Alexandria database. Energies are from PBE.

The structure belongs to space group P4/mmm (No. 123); the cell edges are 5.6550, 5.6550 and 6.1220 Å and the angles 90.00°, 90.00° and 90.00°. The asymmetric unit holds Cd at (0.0000, 0.0000, 0.0000), In at (0.5000, 0.5000, 0.5000), Sb at (0.0000, 0.5000, 0.0000) and Te at (0.0000, 0.0000, 0.5000).

The value obtained for the total magnetization is 0.00 μB/cell. For the uncorrected formation energy, the calculation gives 0.548 eV per atom. The calculation puts the volume at 39.155 Å³ per atom. The value obtained for the energy above the lowest structure with this stoichiometry is 0.00 kcal/mol of atoms. Its density is 5.1 g/cm3.

2.
Here is NaGe2PdC after structural relaxation from the Alexandria database. Energies are from PBE.

The structure belongs to space group P4/mmm (No. 123); the cell edges are 4.2562, 4.2562 and 4.5245 Å and the angles 90.00°, 90.00° and 90.00°. The asymmetric unit holds Na at (0.0000, 0.0000, 0.0000), Ge at (0.0000, 0.5000, 0.5000), Pd at (0.5000, 0.5000, 0.0000) and C at (0.0000, 0.0000, 0.5000).

The value obtained for the total magnetization is 0.00 μB/cell. The calculation puts the volume at 16.392 Å³ per atom. Its density is 5.8 g/cm3. The calculation puts the energy of formation at 0.700 eV per atom.

3.
Here is Ca2ReTc after structural relaxation from the Alexandria database. Energies are from PBE.

The structure belongs to space group P4/mmm (No. 123); the cell edges are 3.9327, 3.9327 and 4.9995 Å and the angles 90.00°, 90.00° and 90.00°. The asymmetric unit holds Ca at (0.0000, 0.5000, 0.0000), Re at (0.0000, 0.0000, 0.5000) and Tc at (0.5000, 0.5000, 0.5000).

The value obtained for the total magnetization is 0.00 μB/cell. The calculation puts the volume at 19.330 Å³ per atom. The value obtained for the energy above the lowest structure with this stoichiometry is 12.40 kcal/mol of atoms. Its density is 7.8 g/cm3. The calculation puts the energy of formation at 0.798 eV per atom.

4.
Here is Y3Zn3Au2 after structural relaxation from the Alexandria database. Energies are from PBE.

The structure belongs to space group Cmcm (No. 63); the cell edges are 4.4888, 10.4675 and 14.8197 Å and the angles 90.00°, 90.00° and 90.00°. The asymmetric unit holds Y at (0.0000, 0.0939, 0.1043), Y at (0.0000, 0.3654, 0.2500), Zn at (0.0000, 0.3515, 0.7500), Zn at (0.0000, 0.3926, 0.0404) and Au at (0.0000, 0.2001, 0.6050).

The value obtained for the total magnetization is 0.00 μB/cell. The calculation puts the volume at 21.760 Å³ per atom. Its density is 8.2 g/cm3. The calculation puts the energy of formation at -0.581 eV per atom.